[1]
Entry from Alexandria: Pr2EuSn after structural relaxation (GGA-PBE).

abc: 4.9094 5.0598 5.0598
angles: 90.00 90.00 90.00
Fractional coordinates of all 4 atoms:
Pr 0.0000 0.0000 0.5000
Pr 0.0000 0.5000 0.0000
Sn 0.5000 0.0000 0.0000
Eu 0.5000 0.5000 0.5000

Calculated values
Offset from the most stable computed form = 0.000 eV per atom
Mass density = 7.299 g cm⁻³
Crystal system = tetragonal
Uncorrected energy = -25.52 eV per cell
Formation energy from the elements = -0.42 eV/atom



[2]
Entry from Alexandria: PrEuTlSn after structural relaxation (GGA-PBE).

abc: 5.5609 5.5609 5.5609
angles: 60.00 60.00 60.00
Fractional coordinates of all 4 atoms:
Sn 0.2500 0.2500 0.2500
Tl 0.7500 0.7500 0.7500
Pr 0.5000 0.5000 0.5000
Eu 0.0000 0.0000 0.0000

Calculated values
Mass density = 8.412 g cm⁻³
Crystal system = cubic
Uncorrected energy = -23.49 eV per cell
Formation energy from the elements = -0.52 eV/atom



[3]
Entry from Alexandria: PrEuTmSn after structural relaxation (GGA-PBE).

abc: 5.5227 5.5227 5.5227
angles: 60.00 60.00 60.00
Fractional coordinates of all 4 atoms:
Tm 0.0000 0.0000 0.0000
Pr 0.5000 0.5000 0.5000
Sn 0.2500 0.2500 0.2500
Eu 0.7500 0.7500 0.7500

Calculated values
Mass density = 8.093 g cm⁻³
Crystal system = cubic
Uncorrected energy = -24.47 eV per cell
Formation energy from the elements = -0.24 eV/atom



[4]
Entry from Alexandria: SrPr2Eu after structural relaxation (GGA-PBE).

abc: 5.6662 5.3456 5.3456
angles: 90.00 90.00 90.00
Fractional coordinates of all 4 atoms:
Pr 0.0000 0.0000 0.5000
Pr 0.0000 0.5000 0.0000
Sr 0.5000 0.0000 0.0000
Eu 0.5000 0.5000 0.5000

Calculated values
Offset from the most stable computed form = 0.022 eV per atom
Mass density = 5.347 g cm⁻³
Crystal system = tetragonal
Uncorrected energy = -20.94 eV per cell
Formation energy from the elements = 0.14 eV/atom



[5]
Entry from Alexandria: Sr2PrEu after structural relaxation (GGA-PBE).

abc: 3.8805 3.8805 14.3090
angles: 82.21 82.21 60.00
Fractional coordinates of all 4 atoms:
Pr 0.0000 0.0000 0.0000
Eu 0.5000 0.5000 0.5000
Sr 0.9134 0.9134 0.2599
Sr 0.0866 0.0866 0.7401

Calculated values
Offset from the most stable computed form = 0.128 eV per atom
Mass density = 4.218 g cm⁻³
Crystal system = trigonal
Uncorrected energy = -17.45 eV per cell
Formation energy from the elements = 0.24 eV/atom



[6]
Entry from Alexandria: Sr2PrEu after structural relaxation (GGA-PBE).

abc: 3.9548 3.9548 11.6984
angles: 90.00 90.00 90.00
Fractional coordinates of all 4 atoms:
Pr 0.5000 0.5000 0.0000
Sr 0.0000 0.0000 0.7619
Sr 0.0000 0.0000 0.2381
Eu 0.5000 0.5000 0.5000

Calculated values
Offset from the most stable computed form = 0.000 eV per atom
Mass density = 4.248 g cm⁻³
Crystal system = tetragonal
Uncorrected energy = -17.96 eV per cell
Formation energy from the elements = 0.11 eV/atom



[7]
Entry from Alexandria: SrPr2Eu after structural relaxation (GGA-PBE).

abc: 6.1343 6.1343 6.1343
angles: 60.00 60.00 60.00
Fractional coordinates of all 4 atoms:
Pr 0.2500 0.2500 0.2500
Pr 0.7500 0.7500 0.7500
Eu 0.0000 0.0000 0.0000
Sr 0.5000 0.5000 0.5000

Calculated values
Offset from the most stable computed form = 0.056 eV per atom
Mass density = 5.304 g cm⁻³
Crystal system = cubic
Uncorrected energy = -20.80 eV per cell
Formation energy from the elements = 0.18 eV/atom



[8]
Entry from Alexandria: SrPrEu2 after structural relaxation (GGA-PBE).

abc: 6.2208 6.2208 6.2208
angles: 60.00 60.00 60.00
Fractional coordinates of all 4 atoms:
Pr 0.5000 0.5000 0.5000
Eu 0.7500 0.7500 0.7500
Eu 0.2500 0.2500 0.2500
Sr 0.0000 0.0000 0.0000

Calculated values
Offset from the most stable computed form = 0.052 eV per atom
Mass density = 5.194 g cm⁻³
Crystal system = cubic
Uncorrected energy = -26.58 eV per cell
Formation energy from the elements = 0.11 eV/atom



[9]
Entry from Alexandria: SrPrEu2 after structural relaxation (GGA-PBE).

abc: 4.3205 6.2644 6.2644
angles: 90.00 90.00 90.00
Fractional coordinates of all 4 atoms:
Eu 0.0000 0.5000 0.0000
Eu 0.0000 0.0000 0.5000
Sr 0.5000 0.0000 0.0000
Pr 0.5000 0.5000 0.5000

Calculated values
Offset from the most stable computed form = 0.046 eV per atom
Mass density = 5.215 g cm⁻³
Crystal system = tetragonal
Uncorrected energy = -26.60 eV per cell
Formation energy from the elements = 0.10 eV/atom



[10]
Entry from Alexandria: SrPrEu4 after structural relaxation (GGA-PBE).

abc: 7.1880 7.1880 7.1880
angles: 60.00 60.00 60.00
Fractional coordinates of all 6 atoms:
Sr 0.2500 0.2500 0.2500
Pr 0.0000 0.0000 0.0000
Eu 0.6263 0.6263 0.1212
Eu 0.6263 0.1212 0.6263
Eu 0.6263 0.6263 0.6263
Eu 0.1212 0.6263 0.6263

Calculated values
Mass density = 5.289 g cm⁻³
Crystal system = cubic
Uncorrected energy = -46.55 eV per cell
Formation energy from the elements = 0.17 eV/atom



[11]
Entry from Alexandria: SrPrEu2 after structural relaxation (GGA-PBE).

abc: 3.9242 3.9242 13.1213
angles: 81.40 81.40 60.00
Fractional coordinates of all 4 atoms:
Eu 0.2545 0.2545 0.2364
Eu 0.7455 0.7455 0.7636
Sr 0.5000 0.5000 0.5000
Pr 0.0000 0.0000 0.0000

Calculated values
Offset from the most stable computed form = 0.011 eV per atom
Mass density = 5.130 g cm⁻³
Crystal system = trigonal
Uncorrected energy = -26.74 eV per cell
Formation energy from the elements = 0.07 eV/atom



[12]
Entry from Alexandria: Sr2PrEu after structural relaxation (GGA-PBE).

abc: 4.4243 6.3986 6.3986
angles: 90.00 90.00 90.00
Fractional coordinates of all 4 atoms:
Sr 0.0000 0.0000 0.5000
Sr 0.0000 0.5000 0.0000
Eu 0.5000 0.5000 0.5000
Pr 0.5000 0.0000 0.0000

Calculated values
Offset from the most stable computed form = 0.029 eV per atom
Mass density = 4.291 g cm⁻³
Crystal system = tetragonal
Uncorrected energy = -17.84 eV per cell
Formation energy from the elements = 0.14 eV/atom



DOS(E_F) values (in states/eV/f.u.) by entry order: 4.24 1.97 5.22 10.31 9.62 6.10 5.72 17.06 16.43 8.83 4.80 4.50.